A plane-wave DFT calculation with PBE+U was carried out for an optimized crystal structure of CrCuRhO6.

Results
Total DFT energy (no corrections), eV per atom: -6.165

Lattice parameters (Å, degrees): 5.017 5.017 8.555 90.00 90.00 120.00
Fractional positions:
Cr (0.333, 0.667, 0.250)
Cr (0.667, 0.333, 0.750)
Cu (0.000, 0.000, 0.000)
Cu (0.000, 0.000, 0.500)
Rh (0.333, 0.667, 0.750)
Rh (0.667, 0.333, 0.250)
O (0.007, 0.353, 0.126)
O (0.007, 0.653, 0.374)
O (0.347, 0.353, 0.374)
O (0.347, 0.993, 0.126)
O (0.353, 0.007, 0.626)
O (0.353, 0.347, 0.874)
O (0.647, 0.653, 0.126)
O (0.647, 0.993, 0.374)
O (0.653, 0.007, 0.874)
O (0.653, 0.647, 0.626)
O (0.993, 0.347, 0.626)
O (0.993, 0.647, 0.874)